# 1
LiCu4Ni4 PBE relaxed; ΔH_f (0 K) = 0.06 kcal/mol of atoms; calculated total energy = -4.5999 eV per atom
1.0
3.3747 0.0000 1.0188
1.6873 5.3827 0.5094
0.1316 0.0000 5.6624
Li Cu Ni
1 4 4
Direct
0.5000 0.5000 0.0000 Li
0.1681 0.1638 0.0000 Cu
0.8319 0.8362 0.0000 Cu
0.8319 0.5000 0.3362 Cu
0.1681 0.5000 0.6638 Cu
0.5000 0.1615 0.3386 Ni
0.5000 0.8385 0.6614 Ni
0.1615 0.8386 0.3385 Ni
0.8385 0.1614 0.6615 Ni

# 2
PmCuNiSn PBE relaxed; ΔH_f (0 K) = -8.98 kcal/mol of atoms; calculated total energy = -5.0473 eV per atom
1.0
-0.1945 4.6522 -0.7210
-1.7862 2.8259 3.3203
2.8383 2.8796 2.4192
Ni Sn Cu Pm
1 1 1 1
Direct
0.0000 0.0000 0.0000 Ni
0.2500 0.2500 0.2500 Sn
0.5000 0.5000 0.5000 Cu
0.7500 0.7500 0.7500 Pm

# 3
ErTlSnBr6 PBE relaxed; formation energy from raw total energies = -1125 kJ/mol of formula units; calculated total energy = -3.6259 eV per atom
1.0
-6.9374 2.9266 0.4559
-5.7691 -3.4151 -3.4576
-1.2466 -3.8749 5.9069
Er Tl Sn Br
1 1 1 6
Direct
0.3333 0.3333 0.5000 Er
0.0000 0.0000 0.0000 Tl
0.6666 0.6667 0.5000 Sn
0.0209 0.3552 0.2742 Br
0.3551 0.0210 0.7258 Br
0.6238 0.3552 0.7258 Br
0.0209 0.6239 0.7258 Br
0.3552 0.6239 0.2742 Br
0.6238 0.0209 0.2742 Br

# 4
TlInGa2 PBE relaxed; ΔH_f (0 K) = 3.31 kcal/mol of atoms; calculated total energy = -2.6462 eV per atom; polymorph energy (0 for the lowest one) = 120 meV/atom
1.0
8.0831 0.0000 0.0000
0.0000 8.0831 0.0000
4.0415 4.0415 3.0986
Tl Ga In
2 4 2
Direct
0.0000 0.0000 0.0000 Tl
0.7500 0.2500 0.5000 Tl
0.6138 0.1250 0.2500 Ga
0.1362 0.6250 0.2500 Ga
0.3750 0.3862 0.7500 Ga
0.8750 0.8638 0.7500 Ga
0.5000 0.5000 0.0000 In
0.2500 0.7500 0.5000 In

# 5
Y2TaSi PBE relaxed; formation energy from raw total energies = 99 kJ/mol of formula units; calculated total energy = -7.2935 eV per atom
1.0
5.3801 0.0058 0.0094
4.3742 3.1324 0.0094
1.1612 0.3736 5.3265
Si Ta Y
1 1 2
Direct
0.7500 0.7500 0.7500 Si
0.2500 0.2500 0.2500 Ta
0.0134 0.0134 0.9857 Y
0.4866 0.4866 0.5143 Y

# 6
HoIr2Pt PBE relaxed; ΔH_f (0 K) = -14.15 kcal/mol of atoms; calculated total energy = -7.6988 eV per atom
1.0
4.0638 0.0000 0.0000
0.0000 4.0626 0.0000
0.0000 0.0000 4.0626
Ir Ho Pt
2 1 1
Direct
0.0000 0.0000 0.5000 Ir
0.0000 0.5000 0.0000 Ir
0.5000 0.0000 0.0000 Ho
0.5000 0.5000 0.5000 Pt

# 7
YSc3 PBE relaxed; ΔH_f (0 K) = 3.29 kcal/mol of atoms; calculated total energy = -6.2222 eV per atom; polymorph energy (0 for the lowest one) = 124 meV/atom
1.0
-2.8155 -0.9141 1.3690
2.2718 -5.5810 -1.6442
2.1560 -3.6510 4.5863
Sc Y
3 1
Direct
0.0000 0.0000 0.0000 Sc
0.0000 0.5000 0.5000 Sc
0.5000 0.5000 0.0000 Sc
0.5000 0.0000 0.5000 Y

# 8
YSc2Bi4 PBE relaxed; ΔH_f (0 K) = -1.70 kcal/mol of atoms; calculated total energy = -5.0238 eV per atom
1.0
-4.4257 2.8809 2.2488
-0.3333 -3.8352 4.2572
2.3900 3.6537 7.3477
Y Sc Bi
1 2 4
Direct
0.0000 0.0000 0.0000 Y
0.3996 0.3996 0.2008 Sc
0.6004 0.6004 0.7992 Sc
0.2096 0.2096 0.5807 Bi
0.7904 0.7904 0.4193 Bi
0.0000 0.5000 0.0000 Bi
0.5000 0.0000 0.0000 Bi

| no. | calculated volume (Å³ per cell) | density (g/cm³) |
| --- | --- | --- |
| 1 | 102.1 | 8.062 |
| 2 | 74.0 | 8.665 |
| 3 | 353.5 | 4.556 |
| 4 | 202.4 | 7.524 |
| 5 | 89.6 | 7.170 |
| 6 | 67.1 | 18.431 |
| 7 | 106.9 | 3.478 |
| 8 | 247.8 | 6.800 |